The following is a GGA+U calculation of crystalline BaV2Ni3H2O10 at its relaxed geometry, from the Alexandria database.

Lattice parameters (Å, degrees): 5.9555 5.9555 21.1193 90.00 90.00 120.00
With the nearest neighbours (Å) after each atom.
Space group R-3m (No. 166, hexagonal axes)
One atom of each set of equivalent atoms:
Ba 0.0000 0.0000 0.0000 (multiplicity 3)  6 O 2.86
V 0.0000 0.0000 0.4148 (multiplicity 6)  4 O 1.70-1.77
Ni 0.0000 0.5000 0.5000 (multiplicity 9)  6 O 1.96-2.14
H 0.0000 0.0000 0.2588 (multiplicity 6)  1 O 1.00
O 0.0000 0.0000 0.2115 (multiplicity 6)  1 H 1.00
O 0.0000 0.0000 0.3345 (multiplicity 6)  1 H 1.60, 1 V 1.70
O 0.0057 0.5028 0.2264 (multiplicity 18)  1 V 1.77

Properties
- Final energy: -6.20 eV/atom